DFT (GGA-PBE) results for an optimized crystal structure of Ta2MoOs.

- Energy relative to the elements: -10.1 kJ per mole of atoms
- Magnetic moment: 0.00 μB/f.u.

Structure (CIF):
```
data_Ta2MoOs
_chemical_formula_sum 'Ta8 Mo4 Os4'
_symmetry_space_group_name_H-M 'C m c m'
_symmetry_Int_Tables_number 63
_symmetry_space_group_name_Hall '-C 2c 2'
_cell_length_a 8.2428
_cell_length_b 6.4844
_cell_length_c 5.0599
_cell_angle_alpha 90.00
_cell_angle_beta 90.00
_cell_angle_gamma 90.00
loop_
_atom_site_label
_atom_site_type_symbol
_atom_site_fract_x
_atom_site_fract_y
_atom_site_fract_z
_atom_site_occupancy
Ta1 Ta 0.1948 0.1602 0.2500 1
Mo1 Mo 0.0000 0.5000 0.0000 1
Os1 Os 0.0000 0.1444 0.7500 1
```


DFT (GGA-PBE) results for an optimized crystal structure of Ta2MoOs.

- Energy relative to the elements: -37.9 kJ per mole of atoms
- Magnetic moment: 0.00 μB/f.u.

Structure (CIF):
```
data_Ta2MoOs
_chemical_formula_sum 'Ta8 Mo4 Os4'
_symmetry_space_group_name_H-M 'F m -3 m'
_symmetry_Int_Tables_number 225
_symmetry_space_group_name_Hall '-F 4 2 3'
_cell_length_a 6.4030
_cell_length_b 6.4030
_cell_length_c 6.4030
_cell_angle_alpha 90.00
_cell_angle_beta 90.00
_cell_angle_gamma 90.00
loop_
_atom_site_label
_atom_site_type_symbol
_atom_site_fract_x
_atom_site_fract_y
_atom_site_fract_z
_atom_site_occupancy
Ta1 Ta 0.2500 0.2500 0.2500 1
Mo1 Mo 0.0000 0.0000 0.0000 1
Os1 Os 0.0000 0.0000 0.5000 1
```


DFT (GGA-PBE) results for an optimized crystal structure of Tb2Mo2Os.

- Energy relative to the elements: 165.7 kJ per mole of atoms
- Magnetic moment: 0.10 μB/f.u.

Structure (CIF):
```
data_Tb2Mo2Os
_chemical_formula_sum 'Tb4 Mo4 Os2'
_symmetry_space_group_name_H-M 'P 4/m b m'
_symmetry_Int_Tables_number 127
_symmetry_space_group_name_Hall '-P 4 2ab'
_cell_length_a 8.7916
_cell_length_b 8.7916
_cell_length_c 2.7257
_cell_angle_alpha 90.00
_cell_angle_beta 90.00
_cell_angle_gamma 90.00
loop_
_atom_site_label
_atom_site_type_symbol
_atom_site_fract_x
_atom_site_fract_y
_atom_site_fract_z
_atom_site_occupancy
Tb1 Tb 0.1238 0.3762 0.0000 1
Mo1 Mo 0.1795 0.6795 0.0000 1
Os1 Os 0.0000 0.0000 0.5000 1
```


DFT (GGA-PBE) results for an optimized crystal structure of TcMoOs2.

- Energy relative to the elements: 42.4 kJ per mole of atoms
- Magnetic moment: 0.01 μB/f.u.

Structure (CIF):
```
data_TcMoOs2
_chemical_formula_sum 'Tc4 Mo4 Os8'
_symmetry_space_group_name_H-M 'F -4 3 m'
_symmetry_Int_Tables_number 216
_symmetry_space_group_name_Hall 'F -4 2 3'
_cell_length_a 6.2122
_cell_length_b 6.2122
_cell_length_c 6.2122
_cell_angle_alpha 90.00
_cell_angle_beta 90.00
_cell_angle_gamma 90.00
loop_
_atom_site_label
_atom_site_type_symbol
_atom_site_fract_x
_atom_site_fract_y
_atom_site_fract_z
_atom_site_occupancy
Tc1 Tc 0.0000 0.0000 0.0000 1
Mo1 Mo 0.2500 0.2500 0.2500 1
Os1 Os 0.0000 0.0000 0.5000 1
Os2 Os 0.2500 0.2500 0.7500 1
```


DFT (GGA-PBE) results for an optimized crystal structure of ThMoOs.

- Energy relative to the elements: 47.6 kJ per mole of atoms
- Magnetic moment: 0.58 μB/f.u.

Structure (CIF):
```
data_ThMoOs
_chemical_formula_sum 'Th4 Mo4 Os4'
_symmetry_space_group_name_H-M 'F -4 3 m'
_symmetry_Int_Tables_number 216
_symmetry_space_group_name_Hall 'F -4 2 3'
_cell_length_a 6.5219
_cell_length_b 6.5219
_cell_length_c 6.5219
_cell_angle_alpha 90.00
_cell_angle_beta 90.00
_cell_angle_gamma 90.00
loop_
_atom_site_label
_atom_site_type_symbol
_atom_site_fract_x
_atom_site_fract_y
_atom_site_fract_z
_atom_site_occupancy
Th1 Th 0.0000 0.0000 0.0000 1
Mo1 Mo 0.0000 0.0000 0.5000 1
Os1 Os 0.2500 0.2500 0.7500 1
```


DFT (GGA-PBE) results for an optimized crystal structure of TlMoOs2.

- Electronic total energy: -127.39 eV per cell
- Magnetic moment: 0.30 μB/f.u.

Structure (CIF):
```
data_TlMoOs2
_chemical_formula_sum 'Tl4 Mo4 Os8'
_symmetry_space_group_name_H-M 'F -4 3 m'
_symmetry_Int_Tables_number 216
_symmetry_space_group_name_Hall 'F -4 2 3'
_cell_length_a 6.4156
_cell_length_b 6.4156
_cell_length_c 6.4156
_cell_angle_alpha 90.00
_cell_angle_beta 90.00
_cell_angle_gamma 90.00
loop_
_atom_site_label
_atom_site_type_symbol
_atom_site_fract_x
_atom_site_fract_y
_atom_site_fract_z
_atom_site_occupancy
Tl1 Tl 0.0000 0.0000 0.0000 1
Mo1 Mo 0.2500 0.2500 0.2500 1
Os1 Os 0.0000 0.0000 0.5000 1
Os2 Os 0.2500 0.2500 0.7500 1
```


DFT (GGA-PBE) results for an optimized crystal structure of Mo2OsW2.

- Energy relative to the elements: 126.4 kJ per mole of atoms
- Magnetic moment: 0.11 μB/f.u.

Structure (CIF):
```
data_Mo2OsW2
_chemical_formula_sum 'Mo4 Os2 W4'
_symmetry_space_group_name_H-M 'I 4/m m m'
_symmetry_Int_Tables_number 139
_symmetry_space_group_name_Hall '-I 4 2'
_cell_length_a 4.0400
_cell_length_b 4.0400
_cell_length_c 10.9615
_cell_angle_alpha 90.00
_cell_angle_beta 90.00
_cell_angle_gamma 90.00
loop_
_atom_site_label
_atom_site_type_symbol
_atom_site_fract_x
_atom_site_fract_y
_atom_site_fract_z
_atom_site_occupancy
Mo1 Mo 0.0000 0.0000 0.1082 1
Os1 Os 0.0000 0.0000 0.5000 1
W1 W 0.0000 0.5000 0.2500 1
```


DFT (GGA-PBE) results for an optimized crystal structure of ZnMoOs.

- Energy relative to the elements: 43.9 kJ per mole of atoms
- Magnetic moment: 0.00 μB/f.u.

Structure (CIF):
```
data_ZnMoOs
_chemical_formula_sum 'Zn4 Mo4 Os4'
_symmetry_space_group_name_H-M 'F -4 3 m'
_symmetry_Int_Tables_number 216
_symmetry_space_group_name_Hall 'F -4 2 3'
_cell_length_a 5.9393
_cell_length_b 5.9393
_cell_length_c 5.9393
_cell_angle_alpha 90.00
_cell_angle_beta 90.00
_cell_angle_gamma 90.00
loop_
_atom_site_label
_atom_site_type_symbol
_atom_site_fract_x
_atom_site_fract_y
_atom_site_fract_z
_atom_site_occupancy
Zn1 Zn 0.0000 0.0000 0.0000 1
Mo1 Mo 0.0000 0.0000 0.5000 1
Os1 Os 0.2500 0.2500 0.7500 1
```


DFT (GGA-PBE) results for an optimized crystal structure of Zr2Mo3Os2.

- Energy relative to the elements: 20.1 kJ per mole of atoms
- Magnetic moment: 0.02 μB/f.u.

Structure (CIF):
```
data_Zr2Mo3Os2
_chemical_formula_sum 'Zr6 Mo9 Os6'
_symmetry_space_group_name_H-M 'R 3 m'
_symmetry_Int_Tables_number 160
_symmetry_space_group_name_Hall 'R 3 -2"'
_cell_length_a 4.4729
_cell_length_b 4.4729
_cell_length_c 21.6684
_cell_angle_alpha 90.00
_cell_angle_beta 90.00
_cell_angle_gamma 120.00
loop_
_atom_site_label
_atom_site_type_symbol
_atom_site_fract_x
_atom_site_fract_y
_atom_site_fract_z
_atom_site_occupancy
Zr1 Zr 0.0000 0.0000 0.0000 1
Zr2 Zr 0.0000 0.0000 0.4856 1
Mo1 Mo 0.0000 0.0000 0.3659 1
Mo2 Mo 0.0000 0.0000 0.6137 1
Mo3 Mo 0.0000 0.0000 0.8660 1
Os1 Os 0.0000 0.0000 0.2442 1
Os2 Os 0.0000 0.0000 0.7471 1
```


DFT (GGA-PBE) results for an optimized crystal structure of ZrMoOs2.

- Energy relative to the elements: 13.6 kJ per mole of atoms
- Magnetic moment: 0.17 μB/f.u.

Structure (CIF):
```
data_ZrMoOs2
_chemical_formula_sum 'Zr4 Mo4 Os8'
_symmetry_space_group_name_H-M 'F -4 3 m'
_symmetry_Int_Tables_number 216
_symmetry_space_group_name_Hall 'F -4 2 3'
_cell_length_a 6.3812
_cell_length_b 6.3812
_cell_length_c 6.3812
_cell_angle_alpha 90.00
_cell_angle_beta 90.00
_cell_angle_gamma 90.00
loop_
_atom_site_label
_atom_site_type_symbol
_atom_site_fract_x
_atom_site_fract_y
_atom_site_fract_z
_atom_site_occupancy
Zr1 Zr 0.0000 0.0000 0.0000 1
Mo1 Mo 0.2500 0.2500 0.2500 1
Os1 Os 0.0000 0.0000 0.5000 1
Os2 Os 0.2500 0.2500 0.7500 1
```


DFT (GGA-PBE) results for an optimized crystal structure of Mo2P3.

- Electronic total energy: -79.56 eV per cell
- Magnetic moment: 0.00 μB/f.u.

Structure (CIF):
```
data_Mo2P3
_chemical_formula_sum 'Mo4 P6'
_symmetry_space_group_name_H-M 'I 4/m m m'
_symmetry_Int_Tables_number 139
_symmetry_space_group_name_Hall '-I 4 2'
_cell_length_a 3.1313
_cell_length_b 3.1313
_cell_length_c 13.7983
_cell_angle_alpha 90.00
_cell_angle_beta 90.00
_cell_angle_gamma 90.00
loop_
_atom_site_label
_atom_site_type_symbol
_atom_site_fract_x
_atom_site_fract_y
_atom_site_fract_z
_atom_site_occupancy
Mo1 Mo 0.0000 0.0000 0.1152 1
P1 P 0.0000 0.0000 0.3013 1
P2 P 0.0000 0.0000 0.5000 1
```


DFT (GGA-PBE) results for an optimized crystal structure of Mo2P3.

- Electronic total energy: -40.66 eV per cell
- Magnetic moment: 0.01 μB/f.u.

Structure (CIF):
```
data_Mo2P3
_chemical_formula_sum 'Mo2 P3'
_symmetry_space_group_name_H-M 'P -6 m 2'
_symmetry_Int_Tables_number 187
_symmetry_space_group_name_Hall 'P -6 2'
_cell_length_a 3.3102
_cell_length_b 3.3102
_cell_length_c 8.2557
_cell_angle_alpha 90.00
_cell_angle_beta 90.00
_cell_angle_gamma 120.00
loop_
_atom_site_label
_atom_site_type_symbol
_atom_site_fract_x
_atom_site_fract_y
_atom_site_fract_z
_atom_site_occupancy
Mo1 Mo 0.0000 0.0000 0.1899 1
P1 P 0.3333 0.6667 0.0000 1
P2 P 0.3333 0.6667 0.3680 1
```